First-principles (PBE) data for CeHoSc after structural relaxation, as listed in the Alexandria database.

Cell and atoms, written as POSCAR:
```
CeHoSc
1.0
-1.422 8.382 -1.616
0.182 -1.725 -9.106
-3.615 -4.091 0.702
Ce Sc Ho
4 4 4
direct
0.500 0.854 0.000
0.000 0.646 0.000
0.000 0.354 0.000
0.500 0.146 0.000
0.500 0.663 0.500
0.000 0.163 0.500
0.500 0.337 0.500
0.000 0.837 0.500
0.755 0.000 0.755
0.255 0.500 0.755
0.745 0.500 0.245
0.245 0.000 0.245
```

E_tot, eV per cell: -66.15
Calculated formation energy, eV per atom: 0.102